(1)
VASP calculation (PBE-GGA) on Cu2TcSn after structural relaxation.

Results
* space-group type: I-42d
* crystal system: tetragonal
* DOS(E_F): 4.15 states/eV/cell
* energy relative to the elements: 515 meV per atom

a b c (Å): 3.783 3.783 9.784
angles (deg): 78.85 78.85 90.00
Last column: magnetic moment on the atom in μB.
Positions (direct):
Sn 0.000 0.000 0.000  -0.04
Sn 0.750 0.250 0.500  -0.04
Cu 0.603 0.125 0.250  0.02
Cu 0.147 0.625 0.250  0.02
Cu 0.375 0.397 0.750  0.02
Cu 0.875 0.853 0.750  0.02
Tc 0.500 0.500 0.000  0.96
Tc 0.250 0.750 0.500  0.96

***

(2)
VASP calculation (PBE-GGA) on TiCuTcSn after structural relaxation.

Results
* space-group type: F-43m
* crystal system: cubic
* DOS(E_F): 3.07 states/eV/cell
* energy relative to the elements: -98 meV per atom

a b c (Å): 4.483 4.483 4.483
angles (deg): 60.00 60.00 60.00
Positions (direct):
Ti 0.250 0.250 0.250
Sn 0.750 0.750 0.750
Cu 0.500 0.500 0.500
Tc 0.000 0.000 0.000

***

(3)
VASP calculation (PBE-GGA) on UCuTcSn after structural relaxation.

Results
* space-group type: F-43m
* crystal system: cubic
* DOS(E_F): 6.54 states/eV/cell
* energy relative to the elements: 144 meV per atom

a b c (Å): 4.719 4.719 4.719
angles (deg): 60.00 60.00 60.00
Last column: magnetic moment on the atom in μB.
Positions (direct):
U 0.750 0.750 0.750  1.71
Sn 0.250 0.250 0.250  0.01
Cu 0.500 0.500 0.500  0.00
Tc 0.000 0.000 0.000  -0.14

***

(4)
VASP calculation (PBE-GGA) on Y2CuTcSn after structural relaxation.

Results
* space-group type: P4/mmm
* crystal system: tetragonal
* DOS(E_F): 7.17 states/eV/cell
* energy relative to the elements: 947 meV per atom

a b c (Å): 5.699 5.699 4.626
angles (deg): 90.00 90.00 90.00
Last column: magnetic moment on the atom in μB.
Positions (direct):
Y 0.000 0.500 0.000  -0.22
Y 0.500 0.000 0.000  -0.22
Sn 0.000 0.000 0.000  0.01
Cu 0.000 0.000 0.500  0.01
Tc 0.500 0.500 0.500  2.66

***

(5)
VASP calculation (PBE-GGA) on CuSnTe2 after structural relaxation.

Results
* space-group type: R-3m
* raw total energy: -14.2 eV per formula unit
* crystal system: trigonal
* DOS(E_F): 2.64 states/eV/cell

a b c (Å): 8.524 8.524 8.524
angles (deg): 30.89 30.89 30.89
Positions (direct):
Te 0.900 0.900 0.900
Te 0.100 0.100 0.100
Sn 0.500 0.500 0.500
Cu 0.000 0.000 0.000

***

(6)
VASP calculation (PBE-GGA) on Cu3SnTe4 after structural relaxation.

Results
* space-group type: P-43m
* raw total energy: -29.1 eV per formula unit
* crystal system: cubic
* DOS(E_F): 4.47 states/eV/cell

a b c (Å): 5.884 5.884 5.884
angles (deg): 90.00 90.00 90.00
Positions (direct):
Cu 0.000 0.500 0.000
Cu 0.000 0.000 0.500
Cu 0.500 0.000 0.000
Sn 0.000 0.000 0.000
Te 0.284 0.284 0.284
Te 0.716 0.716 0.284
Te 0.284 0.716 0.716
Te 0.716 0.284 0.716

***

(7)
VASP calculation (PBE-GGA) on CuSn2Te4 after structural relaxation.

Results
* space-group type: I4/mmm
* raw total energy: -24.0 eV per formula unit
* crystal system: tetragonal
* DOS(E_F): 5.35 states/eV/cell

a b c (Å): 5.234 5.234 8.520
angles (deg): 72.11 72.11 90.00
Positions (direct):
Te 0.177 0.177 0.647
Te 0.823 0.823 0.353
Te 0.000 0.500 0.000
Te 0.500 0.000 0.000
Sn 0.372 0.372 0.256
Sn 0.628 0.628 0.744
Cu 0.000 0.000 0.000

***

(8)
VASP calculation (PBE-GGA) on CuSnTe2 after structural relaxation.

Results
* space-group type: Pna2_1
* raw total energy: -14.7 eV per formula unit
* crystal system: orthorhombic
* DOS(E_F): 9.11 states/eV/cell

a b c (Å): 7.068 7.087 10.087
angles (deg): 90.00 90.00 90.00
Positions (direct):
Cu 0.012 0.567 0.875
Cu 0.512 0.933 0.375
Cu 0.012 0.067 0.625
Cu 0.512 0.433 0.125
Sn 0.989 0.532 0.373
Sn 0.489 0.468 0.627
Sn 0.489 0.968 0.873
Sn 0.989 0.032 0.127
Te 0.400 0.091 0.158
Te 0.400 0.591 0.342
Te 0.900 0.909 0.842
Te 0.900 0.409 0.658
Te 0.872 0.429 0.092
Te 0.372 0.571 0.908
Te 0.372 0.071 0.592
Te 0.872 0.929 0.408

***

(9)
VASP calculation (PBE-GGA) on CuSn3Te after structural relaxation.

Results
* space-group type: Pm-3m
* distance to the lowest polymorph of the same formula: 0.0 meV/atom
* crystal system: cubic
* DOS(E_F): 2.13 states/eV/cell

a b c (Å): 5.165 5.165 5.165
angles (deg): 90.00 90.00 90.00
Positions (direct):
Te 0.500 0.500 0.500
Sn 0.000 0.500 0.000
Sn 0.000 0.000 0.500
Sn 0.500 0.000 0.000
Cu 0.000 0.000 0.000

***

(10)
VASP calculation (PBE-GGA) on CuSnTe2 after structural relaxation.

Results
* space-group type: R3m
* raw total energy: -14.6 eV per formula unit
* crystal system: trigonal
* DOS(E_F): 1.94 states/eV/cell

a b c (Å): 4.064 4.064 7.625
angles (deg): 74.54 74.54 60.00
Positions (direct):
Cu 0.669 0.669 0.994
Sn 0.501 0.501 0.496
Te 0.067 0.067 0.799
Te 0.263 0.263 0.211

***

(11)
VASP calculation (PBE-GGA) on CuSn2Te after structural relaxation.

Results
* space-group type: I-42d
* raw total energy: -14.9 eV per formula unit
* crystal system: tetragonal
* DOS(E_F): 6.00 states/eV/cell

a b c (Å): 6.339 6.339 7.831
angles (deg): 66.12 66.12 90.00
Positions (direct):
Te 0.000 0.000 0.000
Te 0.750 0.250 0.500
Sn 0.561 0.125 0.250
Sn 0.189 0.625 0.250
Sn 0.375 0.439 0.750
Sn 0.875 0.811 0.750
Cu 0.500 0.500 0.000
Cu 0.250 0.750 0.500

***

(12)
VASP calculation (PBE-GGA) on CuSn2Te after structural relaxation.

Results
* space-group type: R-3m
* raw total energy: -15.2 eV per formula unit
* crystal system: trigonal
* DOS(E_F): 2.29 states/eV/cell

a b c (Å): 4.165 4.165 7.158
angles (deg): 73.09 73.09 60.00
Positions (direct):
Te 0.500 0.500 0.500
Sn 0.268 0.268 0.195
Sn 0.732 0.732 0.805
Cu 0.000 0.000 0.000

***

Q: Among the records above, which one has the highest DOS(E_F)?
A: number 8